1.
DFT (PBE-GGA) results for crystalline HgGeAu2S at its relaxed geometry.

Values from the calculation:
* E: -12.413 eV for the cell shown
* Fermi-level density of states: 0.571 states/eV per atom
* total magnetic moment: 1.7 μB per formula unit
* SG: No. 123

Cell and atoms, written as extended XYZ:
```
5
Lattice="4.881 0.000 0.000 0.000 4.881 0.000 0.000 0.000 5.424" Properties=species:S:1:pos:R:3 pbc="T T T"
Hg 0.000 0.000 0.000
Ge 0.000 0.000 2.712
Au 0.000 2.440 2.712
Au 2.440 0.000 2.712
S 2.440 2.440 0.000
```


2.
DFT (PBE-GGA) results for crystalline HgGe2AuSe at its relaxed geometry.

Values from the calculation:
* E: -32.810 eV for the cell shown
* Fermi-level density of states: 0.224 states/eV per atom
* total magnetic moment: 0.0 μB per formula unit
* SG: No. 11

Cell and atoms, written as extended XYZ:
```
10
Lattice="7.014 0.000 0.000 0.000 3.614 0.000 -3.106 0.000 10.757" Properties=species:S:1:pos:R:3 pbc="T T T"
Hg 0.421 0.904 1.449
Hg 3.488 2.711 9.308
Ge -0.949 2.711 6.732
Ge 2.696 2.711 1.077
Ge 1.212 0.904 9.679
Ge 4.857 0.904 4.024
Au -0.693 2.711 9.259
Au 4.601 0.904 1.498
Se 0.132 0.904 5.346
Se 3.776 2.711 5.411
```


3.
DFT (PBE-GGA) results for crystalline Hg2GeAuSe4 at its relaxed geometry.

Values from the calculation:
* E: -46.520 eV for the cell shown
* Fermi-level density of states: 0.327 states/eV per atom
* total magnetic moment: 0.0 μB per formula unit
* SG: No. 31

Cell and atoms, written as extended XYZ:
```
16
Lattice="8.847 0.000 0.000 0.000 7.462 0.000 0.000 0.000 7.054" Properties=species:S:1:pos:R:3 pbc="T T T"
Hg 2.107 1.317 0.000
Hg 2.317 6.145 3.527
Hg 6.530 6.145 3.527
Hg 6.740 1.317 0.000
Ge 0.000 5.057 6.992
Ge 4.423 2.406 3.465
Au 0.000 2.576 3.189
Au 4.423 4.886 6.716
Se 0.000 2.704 6.051
Se 0.000 5.066 2.493
Se 2.196 1.318 2.743
Se 2.228 6.145 6.270
Se 4.423 2.396 6.020
Se 4.423 4.758 2.524
Se 6.619 6.145 6.270
Se 6.651 1.318 2.743
```


4.
DFT (PBE-GGA) results for crystalline SmHgGeAu at its relaxed geometry.

Values from the calculation:
* formation energy: -417 meV per atom
* Fermi-level density of states: 0.361 states/eV per atom
* total magnetic moment: 0.0 μB per formula unit
* SG: No. 216

Cell and atoms, written as extended XYZ:
```
4
Lattice="0.000 3.549 3.549 3.549 0.000 3.549 3.549 3.549 0.000" Properties=species:S:1:pos:R:3 pbc="T T T"
Sm 0.000 0.000 0.000
Hg 3.549 3.549 3.549
Ge 5.323 5.323 5.323
Au 1.774 1.774 1.774
```


5.
DFT (PBE-GGA) results for crystalline Sr2HgGe4Au3 at its relaxed geometry.

Values from the calculation:
* formation energy: -440 meV per atom
* Fermi-level density of states: 0.411 states/eV per atom
* total magnetic moment: 0.0 μB per formula unit
* SG: No. 115

Cell and atoms, written as extended XYZ:
```
10
Lattice="4.579 0.000 0.000 0.000 4.579 0.000 0.000 0.000 10.912" Properties=species:S:1:pos:R:3 pbc="T T T"
Sr 0.000 2.290 2.719
Sr 2.290 0.000 8.193
Hg 0.000 0.000 5.456
Ge 0.000 0.000 0.000
Ge 0.000 2.290 6.981
Ge 2.290 0.000 3.932
Ge 2.290 2.290 0.000
Au 0.000 2.290 9.528
Au 2.290 0.000 1.384
Au 2.290 2.290 5.456
```


6.
DFT (PBE-GGA) results for crystalline SrHgGeAu at its relaxed geometry.

Values from the calculation:
* formation energy: -302 meV per atom
* Fermi-level density of states: 0.954 states/eV per atom
* total magnetic moment: 0.0 μB per formula unit
* SG: No. 216

Cell and atoms, written as extended XYZ:
```
4
Lattice="0.000 3.654 3.654 3.654 0.000 3.654 3.654 3.654 0.000" Properties=species:S:1:pos:R:3 pbc="T T T"
Sr 0.000 0.000 0.000
Hg 1.827 1.827 1.827
Ge 3.654 3.654 3.654
Au 5.481 5.481 5.481
```


7.
DFT (PBE-GGA) results for crystalline Sr2HgGe3Au4 at its relaxed geometry.

Values from the calculation:
* formation energy: -460 meV per atom
* Fermi-level density of states: 0.456 states/eV per atom
* total magnetic moment: 0.0 μB per formula unit
* SG: No. 115

Cell and atoms, written as extended XYZ:
```
10
Lattice="4.560 0.000 0.000 0.000 4.560 0.000 0.000 0.000 11.114" Properties=species:S:1:pos:R:3 pbc="T T T"
Sr 0.000 2.280 2.682
Sr 2.280 0.000 8.432
Hg 0.000 0.000 5.557
Ge 0.000 2.280 9.740
Ge 2.280 0.000 1.374
Ge 2.280 2.280 5.557
Au 0.000 0.000 0.000
Au 0.000 2.280 7.210
Au 2.280 0.000 3.904
Au 2.280 2.280 0.000
```


8.
DFT (PBE-GGA) results for crystalline HgGeTe4Au2 at its relaxed geometry.

Values from the calculation:
* E: -24.678 eV for the cell shown
* Fermi-level density of states: 0.232 states/eV per atom
* total magnetic moment: 0.0 μB per formula unit
* SG: No. 121

Cell and atoms, written as extended XYZ:
```
8
Lattice="-3.235 3.235 6.265 3.235 -3.235 6.265 3.235 3.235 -6.265" Properties=species:S:1:pos:R:3 pbc="T T T"
Hg 0.000 0.000 0.000
Ge 0.000 0.000 6.265
Te 1.523 -1.523 4.640
Te 1.711 1.711 1.625
Te -1.523 1.523 4.640
Te 1.523 1.523 7.889
Au 3.235 0.000 3.132
Au 0.000 3.235 3.132
```


total magnetic moment of number 6 (SrHgGeAu)?
0.0 μB per formula unit


What is the Fermi-level density of states in the second record?
0.224 states/eV per atom